Entry 1:
Material: TmHf2Tc9
Method: DFT, PBE-GGA
State: optimized geometry

## Properties
Density of states at the Fermi level ... 1.13 states/eV per atom
Calculated volume ... 206 Å³ per cell
Mass density ... 11366 kg/m3
DFT formation energy ... -0.165 eV/atom
Raw total energy ... -9.97 eV per atom
Space group ... No. 166

Structure (extended XYZ):
```
12
Lattice="2.616 1.510 8.677 -2.616 1.510 8.677 0.000 -3.021 8.677" Properties=species:S:1:pos:R:3 pbc="T T T"
Tm 0.000 0.000 0.000
Hf 0.000 0.000 3.721
Hf 0.000 0.000 22.309
Tc -1.346 -0.777 10.904
Tc 0.000 0.000 8.748
Tc 0.000 -1.554 15.127
Tc -1.346 0.777 15.127
Tc 0.000 0.000 13.015
Tc 1.346 -0.777 10.904
Tc 0.000 1.554 10.904
Tc 0.000 0.000 17.282
Tc 1.346 0.777 15.127
```

---

Entry 2:
Material: Rb2BaSiI6
Method: DFT, PBE-GGA
State: optimized geometry

## Properties
Density of states at the Fermi level ... 0.00 states/eV per atom
Calculated volume ... 502 Å³ per cell
Mass density ... 3630 kg/m3
Raw total energy ... -2.93 eV per atom
Space group ... No. 225

Structure (extended XYZ):
```
10
Lattice="0.000 6.309 6.309 6.309 0.000 6.309 6.309 6.309 0.000" Properties=species:S:1:pos:R:3 pbc="T T T"
Rb 3.154 3.154 3.154
Rb 9.463 9.463 9.463
Ba 0.000 0.000 0.000
Si 6.309 6.309 6.309
I 6.309 6.309 3.370
I 6.309 3.370 6.309
I 9.247 6.309 6.309
I 3.370 6.309 6.309
I 6.309 9.247 6.309
I 6.309 6.309 9.247
```

---

What did the second record say?
Material: Rb2BaSiI6
Method: DFT, PBE-GGA
State: optimized geometry

## Properties
Density of states at the Fermi level ... 0.00 states/eV per atom
Calculated volume ... 502 Å³ per cell
Mass density ... 3630 kg/m3
Raw total energy ... -2.93 eV per atom
Space group ... No. 225

Structure (extended XYZ):
```
10
Lattice="0.000 6.309 6.309 6.309 0.000 6.309 6.309 6.309 0.000" Properties=species:S:1:pos:R:3 pbc="T T T"
Rb 3.154 3.154 3.154
Rb 9.463 9.463 9.463
Ba 0.000 0.000 0.000
Si 6.309 6.309 6.309
I 6.309 6.309 3.370
I 6.309 3.370 6.309
I 9.247 6.309 6.309
I 3.370 6.309 6.309
I 6.309 9.247 6.309
I 6.309 6.309 9.247
```

---

What is the raw total energy in the first record? -9.97 eV per atom